A plane-wave DFT calculation with PBE with a Hubbard U was carried out for a geometry-optimized NpCrBO5 structure.

Properties
For the total energy, the calculation gives -0.6532 Ry/atom.

a b c (Å): 6.344 8.523 6.783
angles (deg): 90.00 111.83 90.00
Space group C2/c (No. 15)
Unique sites:
Np 0.000 0.159 0.250 (multiplicity 4)
Cr 0.000 0.500 0.000 (multiplicity 4)
B 0.000 0.184 0.750 (multiplicity 4)
O 0.000 0.403 0.250 (multiplicity 4)
O 0.110 0.284 0.633 (multiplicity 8)
O 0.163 0.074 0.912 (multiplicity 8)

---

A plane-wave DFT calculation with PBE with a Hubbard U was carried out for a geometry-optimized NpCrB2O8 structure.

Properties
For the total energy, the calculation gives -0.5873 Ry/atom.

a b c (Å): 5.0849 5.0849 5.9545
angles (deg): 90.00 90.00 120.00
Space group P-3m1 (No. 164)
Unique sites:
Np 0.0000 0.0000 0.0000 (multiplicity 1)
Cr 0.0000 0.0000 0.5000 (multiplicity 1)
B 0.3333 0.6667 0.6693 (multiplicity 2)
O 0.1716 0.3431 0.7563 (multiplicity 6)
O 0.3333 0.6667 0.4378 (multiplicity 2)

---

A plane-wave DFT calculation with PBE with a Hubbard U was carried out for a geometry-optimized NpCrB2O6 structure.

Properties
For the total energy, the calculation gives -0.6445 Ry/atom.

a b c (Å): 4.8759 4.8759 16.1674
angles (deg): 90.00 90.00 120.00
Space group R-3 (No. 148, hexagonal axes)
Unique sites:
Np 0.0000 0.0000 0.0000 (multiplicity 3)
Cr 0.0000 0.0000 0.5000 (multiplicity 3)
B 0.0000 0.0000 0.2401 (multiplicity 6)
O 0.0289 0.2977 0.2433 (multiplicity 18)